A relaxed WAuN2F crystal, computed with PBE with a Hubbard U.

Properties
Size of the total moment = 0.03 μB/atom
Calculated density = 10.737 g/cm3
E above lowest polymorph = 0.000 eV per atom
Uncorrected energy = -5.58 eV per atom
Volume = 13.2 Å³ per atom

Lattice parameters (Å, degrees): 4.0095 4.0095 4.1156 90.00 90.00 90.00
Last column: nearest neighbours and their distance in Å.
Sites, in units of the cell vectors:
W 0.0000 0.0000 0.0000  4 N 2.00, 2 F 2.06
Au 0.5000 0.5000 0.5000  4 F 2.84, 8 N 2.87
N 0.0000 0.5000 0.0000  2 W 2.00
N 0.5000 0.0000 0.0000  2 W 2.00
F 0.0000 0.0000 0.5000  2 W 2.06